1.
# CeTm2Th | Alexandria | PBE-GGA | optimized geometry
# - Formation energy: 26 kJ/mol of formula units
# - Energy: -5.51 eV per atom
# - Spin magnetization: 0.8 μB per cell
data_CeTm2Th
_chemical_formula_sum 'Ce1 Tm2 Th1'
_cell_length_a 4.972
_cell_length_b 4.972
_cell_length_c 4.944
_cell_angle_alpha 90.00
_cell_angle_beta 90.00
_cell_angle_gamma 90.00
_symmetry_space_group_name_H-M 'P 4/m m m'
_symmetry_Int_Tables_number 123
_symmetry_space_group_name_Hall '-P 4 2'
loop_
_atom_site_label
_atom_site_type_symbol
_atom_site_fract_x
_atom_site_fract_y
_atom_site_fract_z
Ce1 Ce 0.000 0.000 0.000
Tm1 Tm 0.000 0.500 0.500
Th1 Th 0.500 0.500 0.000

2.
# Tl2CuSi | Alexandria | PBE-GGA | optimized geometry
# - Energy relative to the elements, uncorrected: 0.5390 eV/atom
# - Energy: -3.02 eV per atom
# - Spin magnetization: 0.0 μB per cell
data_Tl2CuSi
_chemical_formula_sum 'Tl8 Cu4 Si4'
_cell_length_a 7.058
_cell_length_b 7.058
_cell_length_c 7.058
_cell_angle_alpha 90.00
_cell_angle_beta 90.00
_cell_angle_gamma 90.00
_symmetry_space_group_name_H-M 'F m -3 m'
_symmetry_Int_Tables_number 225
_symmetry_space_group_name_Hall '-F 4 2 3'
loop_
_atom_site_label
_atom_site_type_symbol
_atom_site_fract_x
_atom_site_fract_y
_atom_site_fract_z
Tl1 Tl 0.250 0.250 0.250
Cu1 Cu 0.000 0.000 0.000
Si1 Si 0.000 0.000 0.500

3.
# TbScGaGe | Alexandria | PBE-GGA | optimized geometry
# - Formation energy: -289 kJ/mol of formula units
# - Energy: -5.40 eV per atom
# - Spin magnetization: 0.0 μB per cell
data_TbScGaGe
_chemical_formula_sum 'Tb2 Sc2 Ga2 Ge2'
_cell_length_a 3.930
_cell_length_b 4.207
_cell_length_c 10.527
_cell_angle_alpha 90.00
_cell_angle_beta 90.00
_cell_angle_gamma 90.00
_symmetry_space_group_name_H-M 'A m m 2'
_symmetry_Int_Tables_number 38
_symmetry_space_group_name_Hall 'A 2 -2'
loop_
_atom_site_label
_atom_site_type_symbol
_atom_site_fract_x
_atom_site_fract_y
_atom_site_fract_z
Tb1 Tb 0.000 0.000 0.000
Sc1 Sc 0.500 0.000 0.723
Ga1 Ga 0.500 0.000 0.439
Ge1 Ge 0.000 0.000 0.277

4.
# Ta2CrPb | Alexandria | PBE-GGA | optimized geometry
# - Formation energy: 147 kJ/mol of formula units
# - Energy: -8.88 eV per atom
# - Spin magnetization: 0.0 μB per cell
data_Ta2CrPb
_chemical_formula_sum 'Ta2 Cr1 Pb1'
_cell_length_a 3.460
_cell_length_b 3.460
_cell_length_c 6.122
_cell_angle_alpha 90.00
_cell_angle_beta 90.00
_cell_angle_gamma 90.00
_symmetry_space_group_name_H-M 'P 4 m m'
_symmetry_Int_Tables_number 99
_symmetry_space_group_name_Hall 'P 4 -2'
loop_
_atom_site_label
_atom_site_type_symbol
_atom_site_fract_x
_atom_site_fract_y
_atom_site_fract_z
Ta1 Ta 0.000 0.000 0.000
Ta2 Ta 0.500 0.500 0.226
Cr1 Cr 0.000 0.000 0.434
Pb1 Pb 0.500 0.500 0.707